## AlReNO (PBE)

Data for a relaxed AlReNO crystal.

Summary:
**Calculated total energy**: -59.1 eV per cell
**ΔE to the lowest computed polymorph**: 1.236 eV per atom

Geometry as CIF:
```
data_AlReNO
_cell_length_a 3.679
_cell_length_b 3.679
_cell_length_c 7.007
_cell_angle_alpha 90.00
_cell_angle_beta 90.00
_cell_angle_gamma 90.00
_space_group_name_H-M_alt 'P 4/n m m'
_space_group_IT_number 129
loop_
_space_group_symop_operation_xyz
'x,y,z'
'-x,-y,-z'
'-y+1/2,x,z'
'y+1/2,-x,-z'
'-x+1/2,-y+1/2,z'
'x+1/2,y+1/2,-z'
'y,-x+1/2,z'
'-y,x+1/2,-z'
'x+1/2,-y,-z'
'-x+1/2,y,z'
'-y,-x,-z'
'y,x,z'
'-x,y+1/2,-z'
'x,-y+1/2,z'
'y+1/2,x+1/2,-z'
'-y+1/2,-x+1/2,z'
loop_
_atom_site_label
_atom_site_type_symbol
_atom_site_fract_x
_atom_site_fract_y
_atom_site_fract_z
Al1 Al 0.250 0.750 0.000
Re1 Re 0.250 0.250 0.341
N1 N 0.250 0.250 0.049
O1 O 0.250 0.750 0.500
```